Record 1
This record from the Alexandria database describes a relaxed structure of Ba2InHgRh. The functional is PBE-GGA.

Calculated values
Calculated formation energy   -170.2 kJ/mol of formula units
Calculated total energy   -16.001 eV/cell

a = 6.016 Å, b = 6.016 Å, c = 5.203 Å
α = 90.00°, β = 90.00°, γ = 90.00°
Sites, in units of the cell vectors:
Ba 0.000 0.500 0.000
Ba 0.500 0.000 0.000
In 0.000 0.000 0.500
Hg 0.500 0.500 0.500
Rh 0.000 0.000 0.000

Record 2
This record from the Alexandria database describes a relaxed structure of RbHfAg2Br8. The functional is PBE-GGA.

Calculated values
Calculated total energy   -41.843 eV/cell
Energy relative to the elements, uncorrected   -11.8 eV/f.u.

a = 6.698 Å, b = 7.178 Å, c = 9.455 Å
α = 73.73°, β = 80.77°, γ = 83.92°
Sites, in units of the cell vectors:
Rb 0.000 0.000 0.000
Hf 0.000 0.500 0.500
Ag 0.435 0.498 0.204
Ag 0.565 0.502 0.796
Br 0.129 0.508 0.747
Br 0.233 0.779 0.344
Br 0.291 0.237 0.460
Br 0.496 0.225 0.050
Br 0.504 0.775 0.950
Br 0.709 0.763 0.540
Br 0.767 0.221 0.656
Br 0.871 0.492 0.253

Record 3
This record from the Alexandria database describes a relaxed structure of CePu3N4. The functional is PBE-GGA.

Calculated values
Calculated total energy   -92.330 eV/cell
Energy relative to the elements, uncorrected   -10.1 eV/f.u.

a = 6.081 Å, b = 6.081 Å, c = 3.498 Å
α = 90.00°, β = 90.00°, γ = 110.31°
Sites, in units of the cell vectors:
Ce 0.000 0.000 0.000
Pu 0.000 0.500 0.500
Pu 0.500 0.000 0.500
Pu 0.500 0.500 0.000
N 0.253 0.747 0.000
N 0.260 0.260 0.500
N 0.740 0.740 0.500
N 0.747 0.253 0.000

Record 4
This record from the Alexandria database describes a relaxed structure of FeHg2Ir. The functional is PBE-GGA.

Calculated values
Calculated formation energy   109.5 kJ/mol of formula units
E above lowest polymorph   0.000 kcal/mol of atoms
Calculated total energy   -16.792 eV/cell

a = 2.973 Å, b = 2.973 Å, c = 8.120 Å
α = 90.00°, β = 90.00°, γ = 90.00°
Sites, in units of the cell vectors:
Fe 0.000 0.000 0.000
Hg 0.000 0.000 0.565
Hg 0.500 0.500 0.245
Ir 0.500 0.500 0.825

Record 5
This record from the Alexandria database describes a relaxed structure of LiPm2Cu3. The functional is PBE-GGA.

Calculated values
Calculated formation energy   -67.9 kJ/mol of formula units
E above lowest polymorph   0.000 kcal/mol of atoms
Calculated total energy   -48.814 eV/cell

a = 8.710 Å, b = 8.360 Å, c = 5.711 Å
α = 73.80°, β = 67.18°, γ = 39.02°
Sites, in units of the cell vectors:
Li 0.167 0.167 0.833
Li 0.833 0.833 0.167
Pm 0.250 0.250 0.250
Pm 0.253 0.747 0.747
Pm 0.747 0.253 0.253
Pm 0.750 0.750 0.750
Cu 0.167 0.666 0.334
Cu 0.334 0.833 0.167
Cu 0.335 0.335 0.665
Cu 0.665 0.665 0.335
Cu 0.666 0.167 0.833
Cu 0.833 0.334 0.666

Record 6
This record from the Alexandria database describes a relaxed structure of RbTlCl2. The functional is PBE-GGA.

Calculated values
E above lowest polymorph   0.000 kcal/mol of atoms
Calculated total energy   -12.944 eV/cell
Energy relative to the elements, uncorrected   -5.9 eV/f.u.

a = 8.066 Å, b = 8.066 Å, c = 8.066 Å
α = 33.67°, β = 33.67°, γ = 33.67°
Sites, in units of the cell vectors:
Rb 0.000 0.000 0.000
Tl 0.500 0.500 0.500
Cl 0.249 0.249 0.249
Cl 0.751 0.751 0.751

Record 7
This record from the Alexandria database describes a relaxed structure of MgTl3As. The functional is PBE-GGA.

Calculated values
Calculated formation energy   228.7 kJ/mol of formula units
E above lowest polymorph   2.408 kcal/mol of atoms
Calculated total energy   -10.972 eV/cell

a = 5.465 Å, b = 5.465 Å, c = 5.465 Å
α = 90.00°, β = 90.00°, γ = 90.00°
Sites, in units of the cell vectors:
Mg 0.000 0.000 0.000
Tl 0.000 0.000 0.500
Tl 0.000 0.500 0.000
Tl 0.500 0.000 0.000
As 0.500 0.500 0.500

Record 8
This record from the Alexandria database describes a relaxed structure of AlInPd2. The functional is PBE-GGA.

Calculated values
Calculated formation energy   -235.9 kJ/mol of formula units
Calculated total energy   -19.311 eV/cell

a = 4.501 Å, b = 4.501 Å, c = 3.230 Å
α = 90.00°, β = 90.00°, γ = 90.00°
Sites, in units of the cell vectors:
Al 0.000 0.000 0.000
In 0.500 0.500 0.000
Pd 0.000 0.500 0.500
Pd 0.500 0.000 0.500